(1)
# ScSiRu2 (PBE, optimized geometry)
# - uncorrected formation energy (eV/atom) = -0.41
data_ScSiRu2
_symmetry_space_group_name_H-M 'P m m 2'
_symmetry_Int_Tables_number 25
_cell_length_a 2.902
_cell_length_b 4.013
_cell_length_c 5.122
_cell_angle_alpha 90.00
_cell_angle_beta 90.00
_cell_angle_gamma 90.00
loop_
_symmetry_equiv_pos_as_xyz
'x,y,z'
'-x,-y,z'
'-x,y,z'
'x,-y,z'
loop_
_atom_site_label
_atom_site_type_symbol
_atom_site_fract_x
_atom_site_fract_y
_atom_site_fract_z
Sc1 Sc 0.000 0.000 0.000
Si1 Si 0.500 0.500 0.283
Ru1 Ru 0.000 0.000 0.489
Ru2 Ru 0.500 0.500 0.758

---

(2)
# NbCr2BTe (PBE, optimized geometry)
# - uncorrected formation energy (eV/atom) = 0.32
data_NbCr2BTe
_symmetry_space_group_name_H-M 'P 4/m m m'
_symmetry_Int_Tables_number 123
_symmetry_space_group_name_Hall '-P 4 2'
_cell_length_a 4.042
_cell_length_b 4.042
_cell_length_c 4.421
_cell_angle_alpha 90.00
_cell_angle_beta 90.00
_cell_angle_gamma 90.00
loop_
_atom_site_label
_atom_site_type_symbol
_atom_site_fract_x
_atom_site_fract_y
_atom_site_fract_z
Nb1 Nb 0.000 0.000 0.000
Cr1 Cr 0.000 0.500 0.500
B1 B 0.000 0.000 0.500
Te1 Te 0.500 0.500 0.000

---

(3)
# V2ReN (PBE, optimized geometry)
# - uncorrected formation energy (eV/atom) = -0.67
data_V2ReN
_symmetry_space_group_name_H-M 'R -3 m'
_symmetry_Int_Tables_number 166
_symmetry_space_group_name_Hall '-R 3 2"'
_cell_length_a 2.8549
_cell_length_b 2.8549
_cell_length_c 19.7642
_cell_angle_alpha 90.00
_cell_angle_beta 90.00
_cell_angle_gamma 120.00
loop_
_atom_site_label
_atom_site_type_symbol
_atom_site_fract_x
_atom_site_fract_y
_atom_site_fract_z
V1 V 0.0000 0.0000 0.2241
Re1 Re 0.0000 0.0000 0.0000
N1 N 0.0000 0.0000 0.5000

---

(4)
# AcAl3Os2 (PBE, optimized geometry)
# - ΔH_f (0 K) (eV per atom) = -0.41
data_AcAl3Os2
_symmetry_space_group_name_H-M 'C m c m'
_symmetry_Int_Tables_number 63
_symmetry_space_group_name_Hall '-C 2c 2'
_cell_length_a 10.455
_cell_length_b 8.298
_cell_length_c 5.379
_cell_angle_alpha 90.00
_cell_angle_beta 90.00
_cell_angle_gamma 90.00
loop_
_atom_site_label
_atom_site_type_symbol
_atom_site_fract_x
_atom_site_fract_y
_atom_site_fract_z
Ac1 Ac 0.000 0.159 0.250
Al1 Al 0.000 0.437 0.750
Al2 Al 0.193 0.227 0.750
Os1 Os 0.206 0.500 0.000

---

(5)
# Ta3CrIr (PBE, optimized geometry)
# - E above lowest polymorph (eV/atom) = 0.000
# - ΔH_f (0 K) (eV per atom) = 1.00
data_Ta3CrIr
_symmetry_space_group_name_H-M 'P m -3 m'
_symmetry_Int_Tables_number 221
_symmetry_space_group_name_Hall '-P 4 2 3'
_cell_length_a 4.515
_cell_length_b 4.515
_cell_length_c 4.515
_cell_angle_alpha 90.00
_cell_angle_beta 90.00
_cell_angle_gamma 90.00
loop_
_atom_site_label
_atom_site_type_symbol
_atom_site_fract_x
_atom_site_fract_y
_atom_site_fract_z
Ta1 Ta 0.000 0.000 0.500
Cr1 Cr 0.000 0.000 0.000
Ir1 Ir 0.500 0.500 0.500

---

(6)
# TiBeB4 (PBE, optimized geometry)
# - ΔH_f (0 K) (eV per atom) = -0.40
data_TiBeB4
_symmetry_space_group_name_H-M 'P b a m'
_symmetry_Int_Tables_number 55
_cell_length_a 5.641
_cell_length_b 10.920
_cell_length_c 3.079
_cell_angle_alpha 90.00
_cell_angle_beta 90.00
_cell_angle_gamma 90.00
loop_
_symmetry_equiv_pos_as_xyz
'x,y,z'
'-x,-y,-z'
'-x,-y,z'
'x,y,-z'
'x+1/2,-y+1/2,-z'
'-x+1/2,y+1/2,z'
'-x+1/2,y+1/2,-z'
'x+1/2,-y+1/2,z'
loop_
_atom_site_label
_atom_site_type_symbol
_atom_site_fract_x
_atom_site_fract_y
_atom_site_fract_z
Ti1 Ti 0.130 0.150 0.000
Be1 Be 0.132 0.414 0.000
B1 B 0.022 0.695 0.500
B2 B 0.116 0.549 0.500
B3 B 0.132 0.968 0.500
B4 B 0.210 0.814 0.500

---

(7)
# Pm4Ho2ErMg (PBE, optimized geometry)
# - ΔH_f (0 K) (eV per atom) = 0.01
data_Pm4Ho2ErMg
_symmetry_space_group_name_H-M 'P 4/m m m'
_symmetry_Int_Tables_number 123
_symmetry_space_group_name_Hall '-P 4 2'
_cell_length_a 5.048
_cell_length_b 5.048
_cell_length_c 9.921
_cell_angle_alpha 90.00
_cell_angle_beta 90.00
_cell_angle_gamma 90.00
loop_
_atom_site_label
_atom_site_type_symbol
_atom_site_fract_x
_atom_site_fract_y
_atom_site_fract_z
Pm1 Pm 0.000 0.500 0.247
Ho1 Ho 0.000 0.000 0.000
Ho2 Ho 0.500 0.500 0.500
Er1 Er 0.000 0.000 0.500
Mg1 Mg 0.500 0.500 0.000

---

(8)
# KTaH (PBE, optimized geometry)
# - E above lowest polymorph (eV/atom) = 0.019
data_KTaH
_symmetry_space_group_name_H-M 'P 1'
_symmetry_Int_Tables_number 1
_cell_length_a 3.479
_cell_length_b 3.674
_cell_length_c 11.086
_cell_angle_alpha 88.22
_cell_angle_beta 89.63
_cell_angle_gamma 90.00
loop_
_symmetry_equiv_pos_as_xyz
'x,y,z'
loop_
_atom_site_label
_atom_site_type_symbol
_atom_site_fract_x
_atom_site_fract_y
_atom_site_fract_z
K1 K 0.000 0.000 0.000
K2 K 0.488 0.518 0.604
Ta1 Ta 0.495 0.539 0.262
Ta2 Ta 0.993 0.048 0.359
H1 H 0.989 0.025 0.533
H2 H 0.996 0.318 0.205

---

(9)
# Si2SnRhN (PBE, optimized geometry)
# - E above lowest polymorph (eV/atom) = 0.161
# - uncorrected formation energy (eV/atom) = -0.21
data_Si2SnRhN
_symmetry_space_group_name_H-M 'P m m 2'
_symmetry_Int_Tables_number 25
_cell_length_a 2.938
_cell_length_b 3.185
_cell_length_c 8.287
_cell_angle_alpha 90.00
_cell_angle_beta 90.00
_cell_angle_gamma 90.00
loop_
_symmetry_equiv_pos_as_xyz
'x,y,z'
'-x,-y,z'
'-x,y,z'
'x,-y,z'
loop_
_atom_site_label
_atom_site_type_symbol
_atom_site_fract_x
_atom_site_fract_y
_atom_site_fract_z
Si1 Si 0.000 0.000 0.000
Si2 Si 0.000 0.500 0.227
Sn1 Sn 0.500 0.000 0.572
Rh1 Rh 0.500 0.500 0.867
N1 N 0.500 0.500 0.342

---

(10)
# KLiYCl5 (PBE, optimized geometry)
# - uncorrected formation energy (eV/atom) = -2.11
data_KLiYCl5
_symmetry_space_group_name_H-M 'C 1 2/c 1'
_symmetry_Int_Tables_number 15
_cell_length_a 8.828
_cell_length_b 12.021
_cell_length_c 10.007
_cell_angle_alpha 90.00
_cell_angle_beta 113.64
_cell_angle_gamma 90.00
loop_
_symmetry_equiv_pos_as_xyz
'x,y,z'
'-x,-y,-z'
'-x,y,-z+1/2'
'x,-y,z+1/2'
'x+1/2,y+1/2,z'
'-x+1/2,-y+1/2,-z'
'-x+1/2,y+1/2,-z+1/2'
'x+1/2,-y+1/2,z+1/2'
loop_
_atom_site_label
_atom_site_type_symbol
_atom_site_fract_x
_atom_site_fract_y
_atom_site_fract_z
K1 K 0.000 0.153 0.250
Li1 Li 0.000 0.190 0.750
Y1 Y 0.000 0.500 0.000
Cl1 Cl 0.000 0.419 0.250
Cl2 Cl 0.110 0.302 0.612
Cl3 Cl 0.190 0.064 0.925

---

(11)
# Zr2TaRe (PBE, optimized geometry)
# - E above lowest polymorph (eV/atom) = 0.172
# - ΔH_f (0 K) (eV per atom) = 0.04
data_Zr2TaRe
_symmetry_space_group_name_H-M 'P 4/m m m'
_symmetry_Int_Tables_number 123
_symmetry_space_group_name_Hall '-P 4 2'
_cell_length_a 4.759
_cell_length_b 4.759
_cell_length_c 3.380
_cell_angle_alpha 90.00
_cell_angle_beta 90.00
_cell_angle_gamma 90.00
loop_
_atom_site_label
_atom_site_type_symbol
_atom_site_fract_x
_atom_site_fract_y
_atom_site_fract_z
Zr1 Zr 0.000 0.500 0.000
Ta1 Ta 0.000 0.000 0.500
Re1 Re 0.500 0.500 0.500

---

(12)
# BaNa2TaF (PBE, optimized geometry)
# - uncorrected formation energy (eV/atom) = 0.44
data_BaNa2TaF
_symmetry_space_group_name_H-M 'P 4/m m m'
_symmetry_Int_Tables_number 123
_symmetry_space_group_name_Hall '-P 4 2'
_cell_length_a 6.634
_cell_length_b 6.634
_cell_length_c 4.627
_cell_angle_alpha 90.00
_cell_angle_beta 90.00
_cell_angle_gamma 90.00
loop_
_atom_site_label
_atom_site_type_symbol
_atom_site_fract_x
_atom_site_fract_y
_atom_site_fract_z
Ba1 Ba 0.000 0.000 0.000
Na1 Na 0.000 0.500 0.000
Ta1 Ta 0.500 0.500 0.500
F1 F 0.000 0.000 0.500

---

(13)
# SnBiMo (PBE, optimized geometry)
# - E above lowest polymorph (eV/atom) = 0.060
# - ΔH_f (0 K) (eV per atom) = 0.26
data_SnBiMo
_symmetry_space_group_name_H-M 'P -1'
_symmetry_Int_Tables_number 2
_cell_length_a 3.277
_cell_length_b 4.678
_cell_length_c 10.228
_cell_angle_alpha 102.39
_cell_angle_beta 96.93
_cell_angle_gamma 90.33
loop_
_symmetry_equiv_pos_as_xyz
'x,y,z'
'-x,-y,-z'
loop_
_atom_site_label
_atom_site_type_symbol
_atom_site_fract_x
_atom_site_fract_y
_atom_site_fract_z
Sn1 Sn 0.191 0.383 0.353
Bi1 Bi 0.448 0.800 0.103
Mo1 Mo 0.290 0.090 0.595